(1)
Below is TlSbI4 after structural relaxation, with properties calculated at the PBE level.

Lattice parameters (Å, degrees): 9.847 18.394 7.942 90.00 124.50 90.00
Space group C2/c (No. 15)
Symmetry-distinct sites (fractional):
Tl 0.000 0.078 0.250 (multiplicity 4)
Sb 0.000 0.424 0.750 (multiplicity 4)
I 0.200 0.316 0.736 (multiplicity 8)
I 0.226 0.442 0.219 (multiplicity 8)

Summary:
* DOS(E_F): 0.00 states/eV per cell
* polymorph energy (0 for the lowest one): 0.000 eV/f.u.
* ΔE_f (raw): -426 meV/atom

(2)
Below is TlSbI4 after structural relaxation, with properties calculated at the PBE level.

Lattice parameters (Å, degrees): 14.786 4.499 8.743 90.00 101.83 90.00
Space group C2/m (No. 12)
Symmetry-distinct sites (fractional):
Tl 0.000 0.000 0.000 (multiplicity 2)
Sb 0.000 0.500 0.500 (multiplicity 2)
I 0.122 0.000 0.404 (multiplicity 4)
I 0.127 0.500 0.819 (multiplicity 4)

Summary:
* polymorph energy (0 for the lowest one): 0.036 eV/f.u.
* ΔE_f (raw): -420 meV/atom